Entry 1:
## AcNi3Sn2 (GGA-PBE)

Data for a geometry-optimized AcNi3Sn2 structure.

Cell: 16.793 4.383 6.493 Å, 90.00 102.87 90.00°
Space group C2/m (No. 12)
Symmetry-distinct sites (fractional):
1 Ac 0.121 0.000 0.130
2 Ni 0.069 0.000 0.587
3 Ni 0.142 0.500 0.509
4 Ni 0.205 0.500 0.907
5 Sn 0.021 0.500 0.734
6 Sn 0.226 0.000 0.682

Results
The offset from the most stable computed form comes out at 0.07 eV/f.u. For the volume, the calculation gives 19.41 Å³ per atom. The calculation puts the formation enthalpy at 0 K at -35 kJ/mol of atoms.

=====

Entry 2:
## Ac3Ni2Sn4 (GGA-PBE)

Data for a geometry-optimized Ac3Ni2Sn4 structure.

Cell: 11.888 4.768 9.123 Å, 90.00 105.91 90.00°
Space group C2/m (No. 12)
Symmetry-distinct sites (fractional):
1 Ac 0.000 0.000 0.000
2 Ac 0.117 0.500 0.686
3 Ni 0.180 0.500 0.356
4 Sn 0.115 0.000 0.406
5 Sn 0.214 0.500 0.085

Results
The offset from the most stable computed form comes out at 0.21 eV/f.u. For the volume, the calculation gives 27.63 Å³ per atom. The calculation puts the formation enthalpy at 0 K at -56 kJ/mol of atoms.

=====

Entry 3:
## Ac7NiSn4 (GGA-PBE)

Data for a geometry-optimized Ac7NiSn4 structure.

Cell: 17.066 5.715 11.999 Å, 90.00 127.44 90.00°
Space group C2/m (No. 12)
Symmetry-distinct sites (fractional):
1 Ac 0.000 0.000 0.000
2 Ac 0.076 0.500 0.280
3 Ac 0.142 0.000 0.554
4 Ac 0.213 0.500 0.863
5 Ni 0.000 0.500 0.000
6 Sn 0.078 0.000 0.781
7 Sn 0.223 0.000 0.347

Results
For the volume, the calculation gives 38.72 Å³ per atom. The calculation puts the formation enthalpy at 0 K at -37 kJ/mol of atoms.

=====

Entry 4:
## Ac6Ni2Sn (GGA-PBE)

Data for a geometry-optimized Ac6Ni2Sn structure.

Cell: 9.996 11.030 11.170 Å, 90.00 90.00 90.00°
Space group Immm (No. 71)
Symmetry-distinct sites (fractional):
1 Ac 0.000 0.200 0.223
2 Ac 0.189 0.500 0.173
3 Ac 0.204 0.322 0.500
4 Ni 0.000 0.367 0.000
5 Ni 0.000 0.500 0.382
6 Sn 0.000 0.000 0.000
7 Sn 0.000 0.000 0.500

Results
For the volume, the calculation gives 34.21 Å³ per atom. The calculation puts the formation enthalpy at 0 K at -25 kJ/mol of atoms.

=====

Entry 5:
## AcNiSn2 (GGA-PBE)

Data for a geometry-optimized AcNiSn2 structure.

Cell: 4.661 18.740 4.657 Å, 90.00 90.00 90.00°
Space group Cmmm (No. 65)
Symmetry-distinct sites (fractional):
1 Ac 0.000 0.143 0.000
2 Ni 0.000 0.431 0.500
3 Sn 0.000 0.000 0.500
4 Sn 0.000 0.296 0.500
5 Sn 0.000 0.500 0.000

Results
The offset from the most stable computed form comes out at 0.00 eV/f.u. For the volume, the calculation gives 25.42 Å³ per atom. The calculation puts the formation enthalpy at 0 K at -56 kJ/mol of atoms.

=====

Entry 6:
## Ac3NiSn2 (GGA-PBE)

Data for a geometry-optimized Ac3NiSn2 structure.

Cell: 4.109 5.616 18.490 Å, 90.00 90.00 90.00°
Space group Immm (No. 71)
Symmetry-distinct sites (fractional):
1 Ac 0.000 0.000 0.000
2 Ac 0.000 0.500 0.161
3 Ni 0.000 0.500 0.000
4 Sn 0.000 0.500 0.345

Results
The offset from the most stable computed form comes out at 1.93 eV/f.u. For the volume, the calculation gives 35.55 Å³ per atom. The calculation puts the formation enthalpy at 0 K at -26 kJ/mol of atoms.

=====

| no. | magnetization (μB per cell) |
| --- | --- |
| 1 | 0.000 |
| 2 | 0.000 |
| 3 | 0.000 |
| 4 | 0.000 |
| 5 | 0.000 |
| 6 | 0.000 |